# 1
# Sb2TeAuO

A relaxed structure of Sb2TeAuO (PBE-GGA, the Alexandria database).

Unit cell a=4.7411 b=4.7411 c=4.9546 alpha=90.00 beta=90.00 gamma=90.00
Fractional coordinates of all 5 atoms:
Sb 0.0000 0.5000 0.0000
Sb 0.5000 0.0000 0.0000
Te 0.0000 0.0000 0.5000
Au 0.5000 0.5000 0.5000
O 0.0000 0.0000 0.0000

As for the space-group type: P4/mmm. The formation energy without anion corrections is 17.9 kJ per mole of atoms. The density of states at the Fermi level comes out at 2.755 states/eV/cell.

---

# 2
# NdYNi10

A relaxed structure of NdYNi10 (PBE-GGA, the Alexandria database).

Unit cell a=3.9602 b=4.9293 c=8.5290 alpha=90.00 beta=90.00 gamma=90.00
Each line ends with the local moment (μB).
Fractional coordinates of all 12 atoms:
Nd 0.0000 0.5000 0.5000  -0.06
Y 0.0000 0.0000 0.0000  -0.06
Ni 0.0000 0.0000 0.3302  0.27
Ni 0.0000 0.5000 0.8364  0.27
Ni 0.0000 0.5000 0.1636  0.27
Ni 0.0000 0.0000 0.6698  0.27
Ni 0.5000 0.0000 0.5000  0.35
Ni 0.5000 0.5000 0.0000  0.37
Ni 0.5000 0.2484 0.2470  0.37
Ni 0.5000 0.7516 0.7530  0.37
Ni 0.5000 0.7516 0.2470  0.37
Ni 0.5000 0.2484 0.7530  0.37

The total energy is -6.05 eV/atom. As for the space-group type: Pmmm. The density of states at the Fermi level comes out at 13.600 states/eV/cell.

---

# 3
# CsGdO2

A relaxed structure of CsGdO2 (PBE-GGA, the Alexandria database).

Unit cell a=3.6148 b=3.6148 c=13.7839 alpha=90.00 beta=90.00 gamma=120.00
Each line ends with the local moment (μB).
Fractional coordinates of all 8 atoms:
Cs 0.3333 0.6667 0.7500  0.00
Cs 0.6667 0.3333 0.2500  0.00
Gd 0.0000 0.0000 0.0000  6.92
Gd 0.0000 0.0000 0.5000  6.92
O 0.3333 0.6667 0.4167  0.00
O 0.3333 0.6667 0.0833  0.00
O 0.6667 0.3333 0.5833  0.00
O 0.6667 0.3333 0.9167  0.00

As for the space-group type: P6_3/mmc. The formation energy without anion corrections is -248.4 kJ per mole of atoms. The density of states at the Fermi level comes out at 0.000 states/eV/cell.

---

# 4
# CeY12In3

A relaxed structure of CeY12In3 (PBE-GGA, the Alexandria database).

Unit cell a=4.8788 b=4.8788 c=19.9244 alpha=90.00 beta=90.00 gamma=90.00
Each line ends with the local moment (μB).
Fractional coordinates of all 16 atoms:
Ce 0.0000 0.0000 0.0000  -0.86
Y 0.5000 0.5000 0.0000  -0.11
Y 0.5000 0.5000 0.2556  -0.02
Y 0.5000 0.5000 0.5000  0.09
Y 0.5000 0.5000 0.7444  -0.02
Y 0.5000 0.0000 0.1305  -0.09
Y 0.5000 0.0000 0.3771  0.04
Y 0.5000 0.0000 0.6229  0.04
Y 0.5000 0.0000 0.8695  -0.09
Y 0.0000 0.5000 0.1305  -0.09
Y 0.0000 0.5000 0.3771  0.04
Y 0.0000 0.5000 0.6229  0.04
Y 0.0000 0.5000 0.8695  -0.09
In 0.0000 0.0000 0.2560  0.00
In 0.0000 0.0000 0.5000  -0.01
In 0.0000 0.0000 0.7440  0.00

The total energy is -5.91 eV/atom. As for the space-group type: P4/mmm. The density of states at the Fermi level comes out at 23.617 states/eV/cell.

---

# 5
# Li2SbBr

A relaxed structure of Li2SbBr (PBE-GGA, the Alexandria database).

Unit cell a=5.6398 b=5.6398 c=5.6398 alpha=144.49 beta=109.66 gamma=81.34
Fractional coordinates of all 4 atoms:
Br 0.2500 0.7500 0.5000
Li 0.0286 0.0286 0.0000
Li 0.4714 0.4714 0.0000
Sb 0.7500 0.2500 0.5000

As for the space-group type: Immm. The formation energy without anion corrections is -56.5 kJ per mole of atoms. The density of states at the Fermi level comes out at 1.468 states/eV/cell.

---

# 6
# BaCo2Ni

A relaxed structure of BaCo2Ni (PBE-GGA, the Alexandria database).

Unit cell a=4.1186 b=4.1186 c=6.0384 alpha=70.05 beta=70.05 gamma=60.04
Each line ends with the local moment (μB).
Fractional coordinates of all 4 atoms:
Ba 0.7500 0.7500 0.7500  -0.11
Co 0.9325 0.9325 0.2024  1.53
Co 0.5675 0.5675 0.2976  1.53
Ni 0.2500 0.2500 0.2500  0.65

The total energy is -5.31 eV/atom. As for the space-group type: R-3m. The density of states at the Fermi level comes out at 3.866 states/eV/cell.

---

# 7
# Pr3Ni5S12

A relaxed structure of Pr3Ni5S12 (PBE-GGA, the Alexandria database).

Unit cell a=12.7204 b=12.7204 c=12.7204 alpha=109.47 beta=109.47 gamma=109.47
Fractional coordinates of all 80 atoms:
Pr 0.7500 0.3750 0.1250
Pr 0.8750 0.7500 0.1250
Pr 0.3750 0.7500 0.6250
Pr 0.2500 0.1250 0.3750
Pr 0.8750 0.1250 0.2500
Pr 0.3750 0.6250 0.2500
Pr 0.6250 0.3750 0.7500
Pr 0.1250 0.8750 0.7500
Pr 0.7500 0.8750 0.6250
Pr 0.6250 0.2500 0.3750
Pr 0.1250 0.2500 0.8750
Pr 0.2500 0.6250 0.8750
Ni 0.1250 0.3750 0.2500
Ni 0.0000 0.5000 0.0000
Ni 0.0000 0.0000 0.0000
Ni 0.3750 0.2500 0.1250
Ni 0.5000 0.0000 0.5000
Ni 0.5000 0.5000 0.0000
Ni 0.1250 0.7500 0.3750
Ni 0.7500 0.1250 0.8750
Ni 0.7500 0.6250 0.3750
Ni 0.3750 0.1250 0.7500
Ni 0.6250 0.8750 0.2500
Ni 0.5000 0.5000 0.5000
Ni 0.5000 0.0000 0.0000
Ni 0.0000 0.0000 0.5000
Ni 0.2500 0.3750 0.6250
Ni 0.2500 0.8750 0.1250
Ni 0.0000 0.5000 0.5000
Ni 0.8750 0.2500 0.6250
Ni 0.6250 0.7500 0.8750
Ni 0.8750 0.6250 0.7500
S 0.6968 0.1118 0.0187
S 0.3219 0.5187 0.4069
S 0.9813 0.3882 0.3031
S 0.5187 0.1968 0.1118
S 0.5850 0.6968 0.6781
S 0.9813 0.5931 0.1781
S 0.3219 0.8032 0.4150
S 0.0931 0.9150 0.1118
S 0.5931 0.9813 0.6781
S 0.6968 0.5850 0.1781
S 0.8032 0.4813 0.3882
S 0.8219 0.9069 0.0187
S 0.1118 0.6968 0.5187
S 0.3882 0.4069 0.0850
S 0.0850 0.9069 0.3882
S 0.4150 0.1118 0.5931
S 0.0850 0.1781 0.1968
S 0.4813 0.6781 0.0931
S 0.8219 0.9150 0.3031
S 0.1118 0.4150 0.0931
S 0.3882 0.9813 0.8032
S 0.5931 0.6118 0.4150
S 0.9069 0.8219 0.5187
S 0.8032 0.3219 0.9150
S 0.4069 0.3882 0.5850
S 0.0931 0.1781 0.4813
S 0.1968 0.6781 0.0850
S 0.1781 0.0850 0.6968
S 0.6118 0.0187 0.1968
S 0.8882 0.5850 0.9069
S 0.5187 0.3219 0.9069
S 0.5850 0.8882 0.4069
S 0.9150 0.8219 0.8032
S 0.9150 0.0931 0.6118
S 0.8882 0.3031 0.4813
S 0.1781 0.0931 0.9813
S 0.6118 0.5931 0.9150
S 0.4069 0.0187 0.3219
S 0.3031 0.4150 0.8219
S 0.1968 0.5187 0.6118
S 0.9069 0.0850 0.8882
S 0.6781 0.1968 0.5850
S 0.4813 0.8032 0.8882
S 0.0187 0.4069 0.8219
S 0.4150 0.3031 0.3219
S 0.0187 0.6118 0.6968
S 0.6781 0.4813 0.5931
S 0.3031 0.8882 0.9813

As for the space-group type: Ia-3d. The formation energy without anion corrections is -78.8 kJ per mole of atoms. The density of states at the Fermi level comes out at 72.130 states/eV/cell.

---

# 8
# KLaPaSe4

A relaxed structure of KLaPaSe4 (PBE-GGA, the Alexandria database).

Unit cell a=8.7150 b=8.9807 c=9.0844 alpha=120.38 beta=90.00 gamma=119.03
Each line ends with the local moment (μB).
Fractional coordinates of all 14 atoms:
K 0.8715 0.7430 0.1215  0.00
K 0.1285 0.2570 0.8785  0.00
La 0.5000 0.0000 0.5000  0.01
La 0.5000 0.0000 0.0000  0.01
Pa 0.5000 0.5000 0.5000  1.01
Pa 0.0000 0.5000 0.5000  1.01
Se 0.7366 0.4733 0.6960  -0.02
Se 0.3023 0.0555 0.2777  -0.01
Se 0.7532 0.0555 0.2777  -0.01
Se 0.7366 0.4733 0.2773  -0.02
Se 0.2634 0.5267 0.7227  -0.02
Se 0.6977 0.9445 0.7223  -0.01
Se 0.2468 0.9445 0.7223  -0.01
Se 0.2634 0.5267 0.3040  -0.02

As for the space-group type: Imma. The formation energy without anion corrections is -152.7 kJ per mole of atoms. The density of states at the Fermi level comes out at 10.459 states/eV/cell.

---

# 9
# NaAs2H2

A relaxed structure of NaAs2H2 (PBE-GGA, the Alexandria database).

Unit cell a=4.5923 b=8.5010 c=4.9391 alpha=135.31 beta=117.71 gamma=89.99
Fractional coordinates of all 5 atoms:
Na 0.0000 0.0000 0.0000
As 0.3279 0.6168 0.6559
As 0.6721 0.3832 0.3441
H 0.4619 0.3379 0.9238
H 0.5381 0.6621 0.0762

The total energy is -3.53 eV/atom. As for the space-group type: C2/m. The density of states at the Fermi level comes out at 0.219 states/eV/cell.

---

# 10
# Hg2POs

A relaxed structure of Hg2POs (PBE-GGA, the Alexandria database).

Unit cell a=9.0639 b=9.0639 c=6.7799 alpha=48.05 beta=48.05 gamma=90.00
Fractional coordinates of all 8 atoms:
P 0.5000 0.5000 0.0000
P 0.2500 0.7500 0.5000
Os 0.0000 0.0000 0.0000
Os 0.7500 0.2500 0.5000
Hg 0.5153 0.1250 0.2500
Hg 0.2347 0.6250 0.2500
Hg 0.3750 0.4847 0.7500
Hg 0.8750 0.7653 0.7500

The total energy is -3.47 eV/atom. As for the space-group type: I-42d. The density of states at the Fermi level comes out at 5.142 states/eV/cell.